Density functional theory data (PBE) for crystalline K2CaYN at its relaxed geometry.

a b c (Å): 7.078 7.078 6.298
angles (deg): 90.00 90.00 90.00
Space group P4/mmm (No. 123)
One atom of each set of equivalent atoms:
K 0.000 0.500 0.000
Ca 0.000 0.000 0.000
Y 0.000 0.000 0.500
N 0.500 0.500 0.500

- Uncorrected formation energy: 1.7568 eV/atom
- Total magnetization: 1.2 μB per formula unit